No. 1
# CsHfTl, relaxed, DFT PBE-GGA
# **Size of the total moment**: 0.00 μB per atom
# **E**: -9.8 eV per cell
# **Space-group type**: No. 216
data_CsHfTl
_cell_length_a 5.259
_cell_length_b 5.259
_cell_length_c 5.259
_cell_angle_alpha 60.00
_cell_angle_beta 60.00
_cell_angle_gamma 60.00
_space_group_name_H-M_alt 'P 1'
_space_group_IT_number 1
_space_group_name_Hall 'P 1'
loop_
_atom_site_label
_atom_site_fract_x
_atom_site_fract_y
_atom_site_fract_z
Cs1 0.250 0.250 0.250
Hf1 0.000 0.000 0.000
Tl1 0.750 0.750 0.750



No. 2
# TlAgSn, relaxed, DFT PBE-GGA
# **E**: -26.5 eV per cell
# **Space-group type**: No. 189
data_TlAgSn
_cell_length_a 7.885
_cell_length_b 7.885
_cell_length_c 4.181
_cell_angle_alpha 90.00
_cell_angle_beta 90.00
_cell_angle_gamma 120.00
_space_group_name_H-M_alt 'P 1'
_space_group_IT_number 1
_space_group_name_Hall 'P 1'
loop_
_atom_site_label
_atom_site_fract_x
_atom_site_fract_y
_atom_site_fract_z
Ag1 0.667 0.333 0.000
Ag2 0.333 0.667 0.000
Ag3 0.000 0.000 0.500
Sn1 0.609 0.000 0.500
Sn2 0.391 0.391 0.500
Sn3 0.000 0.609 0.500
Tl1 0.268 0.000 0.000
Tl2 0.000 0.268 0.000
Tl3 0.732 0.732 0.000